Record 1
This record from Alexandria via LeMat-Bulk describes an optimized crystal structure of TiTl2Se2. The functional is PBE.

extended XYZ file:
```
10
Lattice="6.8394 0.0000 0.0000 0.0000 6.8394 0.0000 0.0000 0.0000 5.6694" Properties=species:S:1:pos:R:3 pbc="T T T"
Ti 0.0000 0.0000 0.0000
Ti 3.4197 3.4197 0.0000
Tl 1.1913 2.2284 2.8347
Tl 2.2284 5.6481 2.8347
Tl 4.6111 1.1913 2.8347
Tl 5.6481 4.6111 2.8347
Se 1.1630 4.5828 0.0000
Se 2.2567 1.1630 0.0000
Se 4.5828 5.6764 0.0000
Se 5.6764 2.2567 0.0000
```

Computed properties:
E_form (uncorrected) in meV/atom: -380
Electronic total energy in eV per atom: -4.299
D(E_F) in states/eV/cell: 10.7


Record 2
This record from Alexandria via LeMat-Bulk describes an optimized crystal structure of Ti2Tl2Se. The functional is PBE.

extended XYZ file:
```
10
Lattice="6.6770 0.0000 0.0000 0.0000 6.6770 0.0000 0.0000 0.0000 4.7515" Properties=species:S:1:pos:R:3 pbc="T T T"
Ti 1.0305 2.3080 0.0000
Ti 2.3080 5.6465 0.0000
Ti 4.3690 1.0305 0.0000
Ti 5.6465 4.3690 0.0000
Tl 1.0817 4.4202 2.3757
Tl 2.2568 1.0817 2.3757
Tl 4.4202 5.5953 2.3757
Tl 5.5953 2.2568 2.3757
Se 0.0000 0.0000 0.0000
Se 3.3385 3.3385 0.0000
```

Computed properties:
E_form (uncorrected) in meV/atom: -248
Electronic total energy in eV per atom: -5.050
D(E_F) in states/eV/cell: 6.1


Record 3
This record from Alexandria via LeMat-Bulk describes an optimized crystal structure of TiTl8Se6. The functional is PBE.

extended XYZ file:
```
30
Lattice="8.8160 0.0000 0.0000 0.0000 11.4256 0.0000 0.0000 0.0000 10.6744" Properties=species:S:1:pos:R:3 pbc="T T T"
Ti 0.0000 1.7252 0.0000
Ti 4.4080 9.7004 5.3372
Tl 0.0000 7.8915 1.6914
Tl 0.0000 9.9750 4.6697
Tl 1.9255 1.0914 7.4877
Tl 2.0540 3.2809 4.0372
Tl 2.0948 4.7878 0.3289
Tl 2.3132 6.6378 5.6661
Tl 2.3539 8.1448 9.3744
Tl 2.4825 10.3342 2.1505
Tl 4.4080 1.4506 10.0069
Tl 4.4080 3.5341 7.0286
Tl 6.3335 10.3342 2.1505
Tl 6.4620 8.1448 9.3744
Tl 6.5028 6.6378 5.6661
Tl 6.7212 4.7878 0.3289
Tl 6.7619 3.2809 4.0372
Tl 6.8905 1.0914 7.4877
Se 0.0000 1.4273 5.2108
Se 0.0000 3.5692 9.1312
Se 0.0000 5.2352 2.6573
Se 0.0000 11.0801 9.5111
Se 2.0389 1.8957 1.3212
Se 2.3691 9.5299 6.6584
Se 4.4080 0.3455 4.1739
Se 4.4080 6.1904 7.9945
Se 4.4080 7.8565 3.7940
Se 4.4080 9.9983 10.5480
Se 6.4469 9.5299 6.6584
Se 6.7770 1.8957 1.3212
```

Computed properties:
E_form (uncorrected) in meV/atom: -491
Electronic total energy in eV per atom: -3.673


> Look up the E_form (uncorrected) of the second one.

-248 meV/atom


> E_form (uncorrected) of number 3 (TiTl8Se6)?

-491 meV/atom